Material: YAl2Se
Method: DFT, PBE-GGA
State: relaxed

Summary:
Its formation energy (no corrections) is -0.434 eV per atom. For the uncorrected energy, the calculation gives -4.793 eV/atom. As for the magnetization: 0.00 μB per formula unit. Its space group is No. 160.

abc: 7.979 7.979 7.979
angles: 26.99 26.99 26.99
Positions (direct):
Y  0.000  0.000  0.000
Al  0.505  0.505  0.505
Al  0.764  0.764  0.764
Se  0.250  0.250  0.250